Entry 1:
VASP calculation (GGA-PBE) on crystalline NaHfInF6 at its relaxed geometry.

Geometry as extended XYZ:
```
18
Lattice="5.969 0.000 0.000 -2.984 5.169 0.000 0.000 0.000 11.049" Properties=species:S:1:pos:R:3 pbc="T T T"
Na 0.000 3.446 2.762
Na 2.984 1.723 8.287
Hf 2.984 1.723 2.762
Hf 0.000 3.446 8.287
In 0.000 0.000 0.000
In 0.000 0.000 5.525
F 2.043 3.107 1.640
F 4.653 1.846 1.640
F -0.728 4.953 7.165
F -1.669 3.323 9.409
F 1.315 1.846 3.885
F 3.926 3.107 3.885
F 0.728 4.953 9.409
F 3.712 0.216 3.885
F -0.941 2.062 7.165
F 2.257 0.216 1.640
F 1.669 3.323 7.165
F 0.941 2.062 9.409
```

Computed properties:
Space group ... P-31c
DOS at the Fermi energy ... 0.00 states/eV per atom

=====

Entry 2:
VASP calculation (GGA-PBE) on crystalline NaHfIn2F8 at its relaxed geometry.

Geometry as extended XYZ:
```
12
Lattice="-1.200 0.906 -5.295 -0.795 -5.885 -1.204 -6.406 0.745 1.742" Properties=species:S:1:pos:R:3 pbc="T T T"
Na -3.203 0.372 0.871
Hf 0.000 0.000 0.000
In -5.934 -1.983 -1.955
In -2.467 -2.251 -2.802
F -2.159 -4.394 -1.228
F -7.603 -3.517 -3.089
F -2.575 -0.140 -4.233
F -6.242 0.160 -3.529
F -0.798 -0.717 -1.668
F -5.826 -4.094 -0.524
F -4.561 -2.964 -3.400
F -3.840 -1.270 -1.357
```

Computed properties:
Space group ... P-1
DOS at the Fermi energy ... 0.27 states/eV per atom

=====

Entry 3:
VASP calculation (GGA-PBE) on crystalline HfInOF2 at its relaxed geometry.

Geometry as extended XYZ:
```
5
Lattice="-0.044 3.125 3.237 -4.001 -1.508 1.401 1.928 -2.684 2.617" Properties=species:S:1:pos:R:3 pbc="T T T"
F -2.001 -0.754 0.701
F -0.022 1.562 1.619
Hf -1.059 -0.533 3.628
O 0.964 -1.342 1.308
In 0.000 0.000 0.000
```

Computed properties:
ΔE to the lowest computed polymorph ... 1420 meV per atom
Space group ... P4/mmm
DOS at the Fermi energy ... 0.71 states/eV per atom

=====

Taking the records one at a time from the top gives formation energy from raw total energies values of -3.1653, -2.8511, -0.9251 eV/atom.